This record from Alexandria describes an optimized crystal structure of Cr2PIO4. The functional is GGA+U. Values from VASP.

Structure (Quantum ESPRESSO input):
```
&SYSTEM
  ibrav = 0, nat = 32, ntyp = 4
/
ATOMIC_SPECIES
O 16.00 O.upf
P 30.97 P.upf
Cr 52.00 Cr.upf
I 126.90 I.upf
CELL_PARAMETERS angstrom
-4.945 -1.804 -3.681
-0.854 -5.268 3.729
-7.316 8.985 5.425
ATOMIC_POSITIONS crystal
O 0.469 0.510 0.109
P 0.132 0.805 0.378
O 0.031 0.010 0.609
Cr 0.350 0.066 0.604
O 0.835 0.595 0.061
Cr 0.515 0.196 0.108
O 0.038 0.638 0.437
O 0.165 0.405 0.939
O 0.531 0.490 0.891
Cr 0.650 0.934 0.396
Cr 0.985 0.696 0.608
O 0.825 0.296 0.738
Cr 0.850 0.434 0.896
O 0.462 0.138 0.937
P 0.368 0.305 0.878
P 0.868 0.195 0.622
Cr 0.015 0.304 0.392
O 0.969 0.990 0.391
P 0.632 0.695 0.122
O 0.665 0.095 0.561
O 0.325 0.204 0.762
I 0.465 0.659 0.660
O 0.335 0.905 0.439
I 0.035 0.159 0.160
I 0.965 0.841 0.840
O 0.175 0.704 0.262
Cr 0.150 0.566 0.104
O 0.538 0.862 0.063
I 0.535 0.341 0.340
Cr 0.485 0.804 0.892
O 0.675 0.796 0.238
O 0.962 0.362 0.563
```

Output
**Size of the total moment**: 8.000 μB/f.u.
**DOS(E_F)**: 0.000 states/eV/atom

=====

This record from Alexandria describes an optimized crystal structure of PaCrIO6. The functional is GGA+U. Values from VASP.

Structure (Quantum ESPRESSO input):
```
&SYSTEM
  ibrav = 0, nat = 18, ntyp = 4
/
ATOMIC_SPECIES
O 16.00 O.upf
Pa 231.04 Pa.upf
Cr 52.00 Cr.upf
I 126.90 I.upf
CELL_PARAMETERS angstrom
5.524 0.000 0.000
-2.762 4.784 0.000
0.000 0.000 9.215
ATOMIC_POSITIONS crystal
O 0.027 0.682 0.865
O 0.973 0.318 0.135
O 0.346 0.318 0.365
O 0.318 0.973 0.635
Pa 0.000 0.000 0.000
Cr 0.667 0.333 0.250
Cr 0.333 0.667 0.750
O 0.346 0.027 0.135
O 0.654 0.973 0.865
O 0.973 0.654 0.365
O 0.654 0.682 0.635
O 0.318 0.346 0.865
I 0.667 0.333 0.750
O 0.027 0.346 0.635
O 0.682 0.027 0.365
O 0.682 0.654 0.135
Pa 0.000 0.000 0.500
I 0.333 0.667 0.250
```

Output
**Size of the total moment**: 4.049 μB/f.u.
**DOS(E_F)**: 0.046 states/eV/atom

=====

This record from Alexandria describes an optimized crystal structure of PaCrIO4. The functional is GGA+U. Values from VASP.

Structure (Quantum ESPRESSO input):
```
&SYSTEM
  ibrav = 0, nat = 14, ntyp = 4
/
ATOMIC_SPECIES
O 16.00 O.upf
I 126.90 I.upf
Cr 52.00 Cr.upf
Pa 231.04 Pa.upf
CELL_PARAMETERS angstrom
6.565 0.452 -0.115
2.601 6.044 -0.115
1.721 1.219 6.492
ATOMIC_POSITIONS crystal
O 0.308 0.308 0.543
O 0.537 0.537 0.203
I 0.998 0.998 0.749
I 0.002 0.002 0.251
Cr 0.370 0.370 0.268
Pa 0.268 0.268 0.862
Cr 0.630 0.630 0.732
O 0.891 0.515 0.859
Pa 0.732 0.732 0.138
O 0.515 0.891 0.859
O 0.692 0.692 0.457
O 0.463 0.463 0.797
O 0.485 0.109 0.141
O 0.109 0.485 0.141
```

Output
**Size of the total moment**: 2.233 μB/f.u.
**DOS(E_F)**: 0.255 states/eV/atom

=====

no.,raw total energy (eV/atom)
1,-6.994
2,-7.132
3,-7.663